The following is a PBE-GGA calculation of an optimized crystal structure of FeSeI5, from Alexandria.

Cell: 9.233 15.372 9.718 Å, 90.00 90.00 90.00°
Atoms (fractional coordinates):
I 0.553 0.761 0.161
I 0.250 0.646 0.398
I 0.750 0.146 0.102
I 0.250 0.049 0.128
Se 0.750 0.232 0.334
Fe 0.750 0.638 0.156
I 0.750 0.951 0.872
I 0.250 0.451 0.628
I 0.053 0.261 0.339
Se 0.250 0.768 0.666
I 0.250 0.451 0.058
Se 0.250 0.732 0.166
I 0.250 0.854 0.898
I 0.947 0.761 0.161
I 0.947 0.739 0.661
I 0.750 0.951 0.442
I 0.053 0.239 0.839
I 0.750 0.354 0.602
Fe 0.250 0.138 0.344
I 0.553 0.739 0.661
I 0.250 0.049 0.558
I 0.750 0.549 0.372
Fe 0.250 0.362 0.844
I 0.447 0.239 0.839
Se 0.750 0.268 0.834
I 0.447 0.261 0.339
Fe 0.750 0.862 0.656
I 0.750 0.549 0.942

Summary:
Magnetization = 4.72 μB per formula unit
Symmetry = No. 62
Crystal system = orthorhombic
ΔE_f (raw) = -0.031 eV per atom